## La2ThSb3Rh4 (GGA-PBE)

Data for a relaxed structure of La2ThSb3Rh4.

## Properties
As for the final energy: -67.993 eV per cell. As for the raw formation energy: -0.895 eV/atom.

Cell lengths 4.5640, 4.5640, 11.2312 Å; angles 90.00, 90.00, 90.00 degrees
With the nearest neighbours (Å) after each atom.
Space group P-4m2 (No. 115)
Asymmetric unit:
La (0.0000, 0.5000, 0.2169) (multiplicity 2)  8 Rh 3.34-3.60, 4 Sb 3.38
Th (0.0000, 0.0000, 0.5000) (multiplicity 1)  4 Rh 2.78
Sb (0.0000, 0.5000, 0.8735) (multiplicity 2)  5 Rh 2.60-2.69
Sb (0.5000, 0.5000, 0.5000) (multiplicity 1)  4 Rh 2.78
Rh (0.0000, 0.0000, 0.0000) (multiplicity 1)  4 Sb 2.69
Rh (0.0000, 0.5000, 0.6419) (multiplicity 2)  3 Sb 2.60-2.78, 2 Th 2.78
Rh (0.5000, 0.5000, 0.0000) (multiplicity 1)  4 Sb 2.69

***

## CuAu (GGA-PBE)

Data for a relaxed structure of CuAu.

## Properties
As for the final energy: -44.552 eV per cell. As for the energy relative to the elements: -0.1 eV/f.u.

Cell lengths 10.0241, 2.8339, 6.7617 Å; angles 90.00, 108.45, 90.00 degrees
With the nearest neighbours (Å) after each atom.
Space group Cm (No. 8)
Asymmetric unit:
Cu (0.0000, 0.0000, 0.0000) (multiplicity 2)  4 Cu 2.64-2.83, 7 Au 2.67-2.79
Cu (0.0596, 0.0000, 0.5520) (multiplicity 2)  4 Cu 2.65-2.83, 7 Au 2.66-2.95
Cu (0.3913, 0.0000, 0.2412) (multiplicity 2)  6 Cu 2.64-2.83, 6 Au 2.72-2.90
Au (0.1736, 0.5000, 0.3099) (multiplicity 2)  7 Cu 2.67-2.76, 5 Au 2.83-2.91
Au (0.2107, 0.5000, 0.9019) (multiplicity 2)  7 Cu 2.76-2.81, 5 Au 2.83-2.97
Au (0.3682, 0.0000, 0.6588) (multiplicity 2)  6 Cu 2.66-2.95, 6 Au 2.83-2.97

***

## Pu2Ge3Pd5 (GGA-PBE)

Data for a relaxed structure of Pu2Ge3Pd5.

## Properties
As for the final energy: -296.516 eV per cell. As for the energy relative to the elements: -5.6 eV/f.u.

Cell lengths 4.3825, 24.2070, 6.8484 Å; angles 90.00, 90.00, 90.00 degrees
With the nearest neighbours (Å) after each atom.
Space group Cmc2_1 (No. 36)
Asymmetric unit:
Pu (0.0000, 0.0161, 0.0000) (multiplicity 4)  6 Ge 2.99-3.24, 5 Pd 2.99-3.14
Pu (0.0000, 0.3280, 0.9798) (multiplicity 4)  4 Ge 2.98-3.18, 9 Pd 2.98-3.33
Ge (0.0000, 0.1055, 0.3019) (multiplicity 4)  3 Pd 2.55-2.59
Ge (0.0000, 0.2768, 0.4078) (multiplicity 4)  7 Pd 2.46-2.72
Ge (0.0000, 0.4437, 0.1984) (multiplicity 4)  5 Pd 2.57-2.69
Pd (0.0000, 0.1114, 0.7215) (multiplicity 4)  3 Ge 2.57-2.88, 1 Pd 2.83
Pd (0.0000, 0.1983, 0.1265) (multiplicity 4)  4 Ge 2.55-2.72, 1 Pd 2.85
Pd (0.0000, 0.2283, 0.7238) (multiplicity 4)  3 Ge 2.46-2.53
Pd (0.0000, 0.3769, 0.4969) (multiplicity 4)  2 Ge 2.50-2.61, 1 Pd 2.78
Pd (0.0000, 0.4513, 0.8067) (multiplicity 4)  4 Ge 2.59-2.69, 1 Pd 2.78

***

Record order is preserved below.
M_tot: 0.54; 0.00; 10.50 μB per formula unit